Entry 1:
DFT (PBE-GGA) results for crystalline NiBiAs2 at its relaxed geometry.

For the energy of formation from the pure elements, the calculation gives 0.1 eV/f.u. As for the space group: I-42d, No. 122.

a = 5.858 Å, b = 5.858 Å, c = 7.174 Å
α = 65.90°, β = 65.90°, γ = 90.00°
Atoms (fractional coordinates):
1 Ni 0.500 0.500 0.000
2 Ni 0.250 0.750 0.500
3 As 0.544 0.125 0.250
4 As 0.206 0.625 0.250
5 As 0.375 0.456 0.750
6 As 0.875 0.794 0.750
7 Bi 0.000 0.000 0.000
8 Bi 0.750 0.250 0.500

Entry 2:
DFT (PBE-GGA) results for crystalline TmCuNiPd at its relaxed geometry.

For the energy of formation from the pure elements, the calculation gives -1.6 eV/f.u. As for the space group: F-43m, No. 216.

a = 4.484 Å, b = 4.484 Å, c = 4.484 Å
α = 60.00°, β = 60.00°, γ = 60.00°
Atoms (fractional coordinates):
1 Ni 0.500 0.500 0.500
2 Tm 0.750 0.750 0.750
3 Cu 0.250 0.250 0.250
4 Pd 0.000 0.000 0.000

Entry 3:
DFT (PBE-GGA) results for crystalline Dy2ZrAg at its relaxed geometry.

For the energy of formation from the pure elements, the calculation gives 1.1 eV/f.u. As for the space group: R-3m, No. 166.

a = 3.238 Å, b = 3.238 Å, c = 11.532 Å
α = 81.93°, β = 81.93°, γ = 60.00°
Atoms (fractional coordinates):
1 Zr 0.000 0.000 0.000
2 Ag 0.500 0.500 0.500
3 Dy 0.092 0.092 0.723
4 Dy 0.908 0.908 0.277

Entry 4:
DFT (PBE-GGA) results for crystalline LiP2PdS at its relaxed geometry.

Its formation energy from raw total energies is 0.40 eV/atom. As for the space group: P4/mmm, No. 123.

a = 4.577 Å, b = 4.577 Å, c = 5.219 Å
α = 90.00°, β = 90.00°, γ = 90.00°
Atoms (fractional coordinates):
1 P 0.000 0.500 0.000
2 P 0.500 0.000 0.000
3 S 0.000 0.000 0.500
4 Pd 0.000 0.000 0.000
5 Li 0.500 0.500 0.500

Entry 5:
DFT (PBE-GGA) results for crystalline LaCd4In at its relaxed geometry.

For the energy of formation from the pure elements, the calculation gives -1.0 eV/f.u. As for the space group: F-43m, No. 216.

a = 6.030 Å, b = 6.030 Å, c = 6.030 Å
α = 60.00°, β = 60.00°, γ = 60.00°
Atoms (fractional coordinates):
1 La 0.000 0.000 0.000
2 Cd 0.876 0.375 0.375
3 Cd 0.375 0.375 0.876
4 Cd 0.375 0.876 0.375
5 Cd 0.375 0.375 0.375
6 In 0.750 0.750 0.750

Entry 6:
DFT (PBE-GGA) results for crystalline Pu2SbAs at its relaxed geometry.

Its formation energy from raw total energies is -0.68 eV/atom. As for the space group: R3m, No. 160.

a = 4.153 Å, b = 4.153 Å, c = 7.896 Å
α = 74.75°, β = 74.75°, γ = 60.00°
Atoms (fractional coordinates):
1 Pu 0.075 0.075 0.776
2 Pu 0.258 0.258 0.226
3 Sb 0.498 0.498 0.505
4 As 0.669 0.669 0.994

Sequential total magnetic moment output: 0.0 0.0 0.0 0.7 0.0 0.1 μB/f.u.
Sequential V output: 25.13 15.94 25.84 21.86 25.84 28.10 A^3/atom